# Pm4Al3Ga (PBE, relaxed)
data_Pm4Al3Ga
_cell_length_a 4.221
_cell_length_b 4.482
_cell_length_c 11.424
_cell_angle_alpha 90.00
_cell_angle_beta 90.00
_cell_angle_gamma 90.00
_symmetry_space_group_name_H-M 'P m m 2'
_symmetry_Int_Tables_number 25
loop_
_symmetry_equiv_pos_as_xyz
'x,y,z'
'-x,-y,z'
'-x,y,z'
'x,-y,z'
loop_
_atom_site_label
_atom_site_type_symbol
_atom_site_fract_x
_atom_site_fract_y
_atom_site_fract_z
Pm1 Pm 0.000 0.000 0.000
Pm2 Pm 0.000 0.500 0.495
Pm3 Pm 0.500 0.000 0.712
Pm4 Pm 0.500 0.500 0.215
Al1 Al 0.000 0.500 0.786
Al2 Al 0.500 0.000 0.421
Al3 Al 0.500 0.500 0.926
Ga1 Ga 0.000 0.000 0.283
# **Crystal system**: orthorhombic
# **Spin magnetization**: 0.00 μB per atom
# **Energy of formation**: -0.419 eV per atom